# 1
An optimized crystal structure of Li4Pm3Ge4, computed with PBE-GGA.

Geometry as CIF:
```
data_Li4Pm3Ge4
_symmetry_space_group_name_H-M 'P 1'
_symmetry_Int_Tables_number 1
_cell_length_a 8.3800
_cell_length_b 8.3800
_cell_length_c 8.3800
_cell_angle_alpha 149.47
_cell_angle_beta 131.94
_cell_angle_gamma 58.01
loop_
_symmetry_equiv_pos_as_xyz
'x,y,z'
loop_
_atom_site_label
_atom_site_fract_x
_atom_site_fract_y
_atom_site_fract_z
Li1 0.0184 0.8287 0.1897
Li2 0.3610 0.1713 0.1897
Li3 0.6390 0.8287 0.8103
Li4 0.9816 0.1713 0.8103
Pm1 0.0000 0.5000 0.5000
Pm2 0.3698 0.3698 0.0000
Pm3 0.6302 0.6302 0.0000
Ge1 0.2138 0.7138 0.5000
Ge2 0.3133 0.0000 0.3133
Ge3 0.6867 0.0000 0.6867
Ge4 0.7862 0.2862 0.5000
```

Properties
ΔH_f (0 K) (eV/atom): -0.6730
DOS at the Fermi energy (states/eV per cell): 2.69



# 2
An optimized crystal structure of LiPmGe4, computed with PBE-GGA.

Geometry as CIF:
```
data_LiPmGe4
_symmetry_space_group_name_H-M 'P 1'
_symmetry_Int_Tables_number 1
_cell_length_a 5.5910
_cell_length_b 5.5910
_cell_length_c 5.5910
_cell_angle_alpha 60.00
_cell_angle_beta 60.00
_cell_angle_gamma 60.00
loop_
_symmetry_equiv_pos_as_xyz
'x,y,z'
loop_
_atom_site_label
_atom_site_fract_x
_atom_site_fract_y
_atom_site_fract_z
Li1 0.0000 0.0000 0.0000
Pm1 0.2500 0.2500 0.2500
Ge1 0.1229 0.6257 0.6257
Ge2 0.6257 0.1229 0.6257
Ge3 0.6257 0.6257 0.1229
Ge4 0.6257 0.6257 0.6257
```

Properties
ΔH_f (0 K) (eV/atom): -0.3078



# 3
An optimized crystal structure of Li2PmGe3, computed with PBE-GGA.

Geometry as CIF:
```
data_Li2PmGe3
_symmetry_space_group_name_H-M 'P 1'
_symmetry_Int_Tables_number 1
_cell_length_a 6.4938
_cell_length_b 6.4938
_cell_length_c 5.8329
_cell_angle_alpha 90.00
_cell_angle_beta 90.00
_cell_angle_gamma 74.12
loop_
_symmetry_equiv_pos_as_xyz
'x,y,z'
loop_
_atom_site_label
_atom_site_fract_x
_atom_site_fract_y
_atom_site_fract_z
Li1 0.2124 0.2124 0.0000
Li2 0.2124 0.2124 0.5000
Li3 0.7876 0.7876 0.0000
Li4 0.7876 0.7876 0.5000
Pm1 0.3308 0.6692 0.7500
Pm2 0.6692 0.3308 0.2500
Ge1 0.0472 0.9528 0.2500
Ge2 0.1765 0.5542 0.2500
Ge3 0.4458 0.8235 0.2500
Ge4 0.5542 0.1765 0.7500
Ge5 0.8235 0.4458 0.7500
Ge6 0.9528 0.0472 0.7500
```

Properties
ΔH_f (0 K) (eV/atom): -0.4222
DOS at the Fermi energy (states/eV per cell): 4.76



# 4
An optimized crystal structure of LiPm2Ge5, computed with PBE-GGA.

Geometry as CIF:
```
data_LiPm2Ge5
_symmetry_space_group_name_H-M 'P 1'
_symmetry_Int_Tables_number 1
_cell_length_a 6.1575
_cell_length_b 6.1517
_cell_length_c 6.3670
_cell_angle_alpha 58.90
_cell_angle_beta 58.81
_cell_angle_gamma 62.30
loop_
_symmetry_equiv_pos_as_xyz
'x,y,z'
loop_
_atom_site_label
_atom_site_fract_x
_atom_site_fract_y
_atom_site_fract_z
Li1 0.0000 0.0000 0.0000
Pm1 0.4528 0.4528 0.0472
Pm2 0.9528 0.9528 0.5472
Ge1 0.4741 0.4741 0.5259
Ge2 0.4847 0.9264 0.5153
Ge3 0.4866 0.9244 0.0756
Ge4 0.9244 0.4866 0.5134
Ge5 0.9264 0.4847 0.0736
```

Properties
ΔH_f (0 K) (eV/atom): -0.4853
DOS at the Fermi energy (states/eV per cell): 2.34



# 5
An optimized crystal structure of Li2PmGe4, computed with PBE-GGA.

Geometry as CIF:
```
data_Li2PmGe4
_symmetry_space_group_name_H-M 'P 1'
_symmetry_Int_Tables_number 1
_cell_length_a 5.6297
_cell_length_b 5.6297
_cell_length_c 5.6297
_cell_angle_alpha 104.85
_cell_angle_beta 104.85
_cell_angle_gamma 119.17
loop_
_symmetry_equiv_pos_as_xyz
'x,y,z'
loop_
_atom_site_label
_atom_site_fract_x
_atom_site_fract_y
_atom_site_fract_z
Li1 0.2500 0.7500 0.5000
Li2 0.7500 0.2500 0.5000
Pm1 0.0000 0.0000 0.0000
Ge1 0.3080 0.3080 0.6161
Ge2 0.3080 0.6920 0.0000
Ge3 0.6920 0.3080 0.0000
Ge4 0.6920 0.6920 0.3839
```

Properties
ΔH_f (0 K) (eV/atom): -0.3944
DOS at the Fermi energy (states/eV per cell): 1.74



# 6
An optimized crystal structure of LiPmGe, computed with PBE-GGA.

Geometry as CIF:
```
data_LiPmGe
_symmetry_space_group_name_H-M 'P 1'
_symmetry_Int_Tables_number 1
_cell_length_a 4.4576
_cell_length_b 4.4576
_cell_length_c 3.7811
_cell_angle_alpha 90.00
_cell_angle_beta 90.00
_cell_angle_gamma 120.00
loop_
_symmetry_equiv_pos_as_xyz
'x,y,z'
loop_
_atom_site_label
_atom_site_fract_x
_atom_site_fract_y
_atom_site_fract_z
Li1 0.0000 0.0000 0.0000
Pm1 0.6667 0.3333 0.5000
Ge1 0.3333 0.6667 0.0000
```

Properties
ΔH_f (0 K) (eV/atom): -0.5764
DOS at the Fermi energy (states/eV per cell): 1.50



Copy entry 4 word for word.
An optimized crystal structure of LiPm2Ge5, computed with PBE-GGA.

Geometry as CIF:
```
data_LiPm2Ge5
_symmetry_space_group_name_H-M 'P 1'
_symmetry_Int_Tables_number 1
_cell_length_a 6.1575
_cell_length_b 6.1517
_cell_length_c 6.3670
_cell_angle_alpha 58.90
_cell_angle_beta 58.81
_cell_angle_gamma 62.30
loop_
_symmetry_equiv_pos_as_xyz
'x,y,z'
loop_
_atom_site_label
_atom_site_fract_x
_atom_site_fract_y
_atom_site_fract_z
Li1 0.0000 0.0000 0.0000
Pm1 0.4528 0.4528 0.0472
Pm2 0.9528 0.9528 0.5472
Ge1 0.4741 0.4741 0.5259
Ge2 0.4847 0.9264 0.5153
Ge3 0.4866 0.9244 0.0756
Ge4 0.9244 0.4866 0.5134
Ge5 0.9264 0.4847 0.0736
```

Properties
ΔH_f (0 K) (eV/atom): -0.4853
DOS at the Fermi energy (states/eV per cell): 2.34



Q: Which value of ΔH_f (0 K) does entry 1 give?
A: -0.6730 eV/atom



Q: Which of these has the highest ΔH_f (0 K)?
A: LiPmGe4



Q: The highest ΔH_f (0 K) belongs to which entry?
A: LiPmGe4